# 1
DFT (PBE) results for a geometry-optimized Zn2Ir structure.

a b c (Å): 5.097 5.097 6.370
angles (deg): 103.71 103.71 32.28
Sites, in units of the cell vectors:
Zn 0.000 0.000 0.000
Zn 0.051 0.051 0.600
Zn 0.382 0.382 0.281
Zn 0.723 0.723 0.939
Ir 0.331 0.331 0.669
Ir 0.661 0.661 0.325

calculated formation energy = -0.162 eV/atom
raw total energy = -3.965 eV per atom
space group = Cm

# 2
DFT (PBE) results for a geometry-optimized Pt2RhW structure.

a b c (Å): 4.447 4.447 4.447
angles (deg): 60.00 60.00 60.00
Sites, in units of the cell vectors:
Pt 0.250 0.250 0.250
Pt 0.750 0.750 0.750
Rh 0.000 0.000 0.000
W 0.500 0.500 0.500

calculated formation energy = 0.042 eV/atom
energy above the most stable polymorph in this dataset = 1.38 eV per formula unit
raw total energy = -8.055 eV per atom
space group = Fm-3m

# 3
DFT (PBE) results for a geometry-optimized TlSnSbTe2 structure.

a b c (Å): 5.827 5.827 5.675
angles (deg): 90.00 90.00 90.00
Sites, in units of the cell vectors:
Tl 0.000 0.000 0.000
Sn 0.500 0.500 0.500
Sb 0.500 0.500 0.000
Te 0.000 0.500 0.500
Te 0.500 0.000 0.500

energy above the most stable polymorph in this dataset = 0.00 eV per formula unit
raw total energy = -3.054 eV per atom
space group = P4/mmm
energy relative to the elements, uncorrected = 301 meV/atom

# 4
DFT (PBE) results for a geometry-optimized MgCo2Pt structure.

a b c (Å): 8.855 8.855 8.855
angles (deg): 17.65 17.65 17.65
Sites, in units of the cell vectors:
Mg 0.000 0.000 0.000
Co 0.249 0.249 0.249
Co 0.751 0.751 0.751
Pt 0.500 0.500 0.500

calculated formation energy = 0.117 eV/atom
raw total energy = -5.345 eV per atom
space group = R-3m